GdPaInHg: optimized geometry, PBE.

POSCAR file:
```
GdPaInHg
1.0
-2.204 -4.834 0.525
3.107 -4.329 0.325
0.425 -2.640 4.621
Hg In Pa Gd
1 1 1 1
direct
0.750 0.750 0.750
0.250 0.250 0.250
0.500 0.500 0.500
0.000 0.000 0.000
```

The calculation puts the magnetization at 9.2 μB per cell. The density of states at the Fermi level is 10.0 states/eV per cell. The crystal system is cubic. As for the energy relative to the elements: -74 meV per atom.